DyCuPb2S4, relaxed, DFT PBE; calculated volume = 184.7 Å³ per cell; SG = P2/m (10); energy = -4.894 eV/atom
1.0
6.8387 0.0000 0.0000
0.0000 3.9926 0.0000
-2.4018 0.0000 6.7634
Dy Cu Pb S
1 1 2 4
direct
0.0000 0.0000 0.0000
0.5000 0.5000 0.0000
0.0000 0.5000 0.5000
0.5000 0.0000 0.5000
0.2425 0.5000 0.2234
0.2733 0.0000 0.7906
0.7267 0.0000 0.2094
0.7575 0.5000 0.7766